DFT (PBE-GGA) results for a relaxed structure of Zn2CrPb.

Unit cell a=3.3969 b=3.3969 c=6.6713 alpha=90.00 beta=90.00 gamma=90.00
Closest atoms and distances in Å follow each position.
Atoms (fractional coordinates):
Zn 0.5000 0.5000 0.2506  4 Zn 2.74, 4 Cr 2.76
Zn 0.0000 0.0000 0.0525  1 Cr 2.68, 4 Zn 2.74
Cr 0.0000 0.0000 0.4536  5 Zn 2.68-2.76
Pb 0.5000 0.5000 0.7434  4 Cr 3.08, 6 Zn 3.17-3.38, 4 Pb 3.40

Summary:
Total magnetization ... 3.8 μB/f.u.
N(E_F) ... 2.44 states/eV/cell
ΔE_f ... 334 meV per atom